Entry 1:
Compound: K3Fe
Source: OQMD
Functional: PBE-GGA
Structure: relaxed

Symmetry: No. 225
Size of the total moment: 3.0 μB per formula unit
Relative energy among the computed polymorphs: 0.000 eV per atom
Uncorrected energy: -2.128 eV per atom

Unit cell a=6.3247 b=6.3247 c=6.3247 alpha=60.00 beta=60.00 gamma=60.00
Last column: nearest neighbours and their distance in Å.
Sites, in units of the cell vectors:
Fe 0.7500 0.7500 0.7500  8 K 3.87
K 0.0000 0.0000 0.0000  4 Fe 3.87, 4 K 3.87
K 0.2500 0.2500 0.2500  8 K 3.87
K 0.5000 0.5000 0.5000  4 Fe 3.87, 4 K 3.87

***

Entry 2:
Compound: TmCuSnTeSe2
Source: OQMD
Functional: PBE-GGA
Structure: relaxed

Symmetry: No. 63
Size of the total moment: 0.0 μB per formula unit
Uncorrected energy: -4.555 eV per atom

Unit cell a=7.1919 b=7.1919 c=10.9616 alpha=90.00 beta=90.00 gamma=147.20
Last column: nearest neighbours and their distance in Å.
Sites, in units of the cell vectors:
Cu 0.9705 0.0295 0.2500  2 Se 2.48, 2 Te 2.66
Cu 0.0295 0.9705 0.7500  2 Se 2.48, 2 Te 2.66
Se 0.8659 0.1341 0.0664  1 Cu 2.48
Se 0.8659 0.1341 0.4336  1 Cu 2.48
Se 0.1341 0.8659 0.5664  1 Cu 2.48
Se 0.1341 0.8659 0.9336  1 Cu 2.48
Sn 0.2869 0.7131 0.2500  4 Se 3.06, 2 Cu 3.25, 2 Te 3.33
Sn 0.7131 0.2869 0.7500  4 Se 3.06, 2 Cu 3.25, 2 Te 3.33
Te 0.5955 0.4045 0.2500  2 Cu 2.66
Te 0.4045 0.5955 0.7500  2 Cu 2.66
Tm 0.5000 0.5000 0.0000  4 Se 2.84, 2 Te 3.04
Tm 0.5000 0.5000 0.5000  4 Se 2.84, 2 Te 3.04

***

Entry 3:
Compound: GdAsAuO
Source: OQMD
Functional: PBE-GGA
Structure: relaxed

Symmetry: No. 26
Size of the total moment: 0.0 μB per formula unit
Relative energy among the computed polymorphs: 0.190 eV per atom
Uncorrected energy: -5.800 eV per atom

Unit cell a=5.7160 b=4.2571 c=6.1642 alpha=90.00 beta=90.00 gamma=90.00
Last column: nearest neighbours and their distance in Å.
Sites, in units of the cell vectors:
As 0.0000 0.9929 0.2313  4 Au 2.59-2.66
As 0.0000 0.0071 0.7313  4 Au 2.59-2.66
Au 0.0000 0.4966 0.4812  4 As 2.59-2.66
Au 0.0000 0.5034 0.9812  4 As 2.59-2.66
Gd 0.5000 0.2177 0.0965  3 O 2.18-2.40
Gd 0.5000 0.7823 0.5965  3 O 2.18-2.40
O 0.5000 0.3015 0.4451  3 Gd 2.18-2.40
O 0.5000 0.6985 0.9451  3 Gd 2.18-2.40

***

Entry 4:
Compound: Cs2HgPdCl6
Source: OQMD
Functional: PBE-GGA
Structure: relaxed

Symmetry: No. 225
Uncorrected energy: -2.947 eV per atom

Unit cell a=7.3726 b=7.3726 c=7.3726 alpha=60.00 beta=60.00 gamma=60.00
Last column: nearest neighbours and their distance in Å.
Sites, in units of the cell vectors:
Cl 0.7376 0.7376 0.2624  1 Pd 2.48, 1 Hg 2.74
Cl 0.7376 0.2624 0.2624  1 Pd 2.48, 1 Hg 2.74
Cl 0.2624 0.7376 0.2624  1 Pd 2.48, 1 Hg 2.74
Cl 0.2624 0.2624 0.7376  1 Pd 2.48, 1 Hg 2.74
Cl 0.2624 0.7376 0.7376  1 Pd 2.48, 1 Hg 2.74
Cl 0.7376 0.2624 0.7376  1 Pd 2.48, 1 Hg 2.74
Cs 0.2500 0.2500 0.2500  12 Cl 3.69
Cs 0.7500 0.7500 0.7500  12 Cl 3.69
Hg 0.0000 0.0000 0.0000  6 Cl 2.74
Pd 0.5000 0.5000 0.5000  6 Cl 2.48